Entry 1:
The following is a GGA-PBE calculation of Nd2AsP3Rh4 after structural relaxation, from Alexandria.

Summary:
Its calculated total energy is -7.0191 eV/atom. The calculation puts the formation energy at -1.04 eV/atom. Its density of states at the Fermi level is 5.63 states/eV per cell. The size of the total moment comes out at 0.00 μB per formula unit.

a = 4.1896 Å, b = 4.1896 Å, c = 9.7700 Å
α = 90.00°, β = 90.00°, γ = 90.00°
With the nearest neighbours (Å) after each atom.
Space group P-4m2 (No. 115)
Symmetry-distinct sites (fractional):
1 Nd 0.0000 0.5000 0.2478 x2  6 P 3.17-3.20, 8 Rh 3.20-3.23, 2 As 3.20
2 As 0.5000 0.5000 0.0000 x1  4 Rh 2.42
3 P 0.0000 0.0000 0.0000 x1  4 Rh 2.42
4 P 0.0000 0.5000 0.6354 x2  5 Rh 2.35-2.48
5 Rh 0.0000 0.0000 0.5000 x1  4 P 2.48
6 Rh 0.0000 0.5000 0.8757 x2  3 P 2.35-2.42, 2 As 2.42
7 Rh 0.5000 0.5000 0.5000 x1  4 P 2.48



Entry 2:
The following is a GGA-PBE calculation of Nd4AsP2S after structural relaxation, from Alexandria.

Summary:
Its calculated total energy is -6.5363 eV/atom. The uncorrected formation energy is -1.703 eV/atom. Its density of states at the Fermi level is 1.29 states/eV per cell. The size of the total moment comes out at 0.00 μB per formula unit.

a = 7.2188 Å, b = 4.1741 Å, c = 7.2363 Å
α = 90.00°, β = 109.38°, γ = 90.00°
With the nearest neighbours (Å) after each atom.
Space group P2/m (No. 10)
Symmetry-distinct sites (fractional):
1 Nd 0.2471 0.0000 0.2436 x2  3 P 2.93, 1 S 2.97, 2 As 2.98
2 Nd 0.2525 0.5000 0.7573 x2  3 P 2.92, 1 As 2.98, 2 S 2.98
3 As 0.5000 0.5000 0.5000 x1  6 Nd 2.98
4 P 0.0000 0.5000 0.0000 x1  6 Nd 2.92-2.93
5 P 0.5000 0.0000 0.0000 x1  6 Nd 2.92-2.93
6 S 0.0000 0.0000 0.5000 x1  6 Nd 2.97-2.98



Entry 3:
The following is a GGA-PBE calculation of Nd6As3P2S after structural relaxation, from Alexandria.

Summary:
Its calculated total energy is -6.4280 eV/atom. The uncorrected formation energy is -1.636 eV/atom. Its density of states at the Fermi level is 3.87 states/eV per cell. The size of the total moment comes out at 0.00 μB per formula unit.

a = 18.3214 Å, b = 4.2084 Å, c = 8.4186 Å
α = 90.00°, β = 103.19°, γ = 90.00°
With the nearest neighbours (Å) after each atom.
Space group C2/m (No. 12)
Symmetry-distinct sites (fractional):
1 Nd 0.0016 0.0000 0.2513 x4  1 P 2.93, 3 As 2.97-2.99, 2 S 2.98
2 Nd 0.1667 0.5000 0.0883 x4  2 P 2.94, 1 S 2.97, 3 As 2.99-3.00
3 Nd 0.1684 0.5000 0.5795 x4  3 P 2.96, 3 As 3.00-3.01
4 As 0.0000 0.5000 0.5000 x2  6 Nd 2.97-3.00
5 As 0.1658 0.0000 0.8341 x4  6 Nd 2.99-3.01
6 P 0.1659 0.0000 0.3318 x4  6 Nd 2.93-2.96
7 S 0.0000 0.5000 0.0000 x2  6 Nd 2.97-2.98



Entry 4:
The following is a GGA-PBE calculation of Nd4AsPS2 after structural relaxation, from Alexandria.

Summary:
Its calculated total energy is -6.4898 eV/atom. The uncorrected formation energy is -1.817 eV/atom. Its density of states at the Fermi level is 3.72 states/eV per cell. The size of the total moment comes out at 0.00 μB per formula unit.

a = 7.1787 Å, b = 4.1574 Å, c = 7.2047 Å
α = 90.00°, β = 109.60°, γ = 90.00°
With the nearest neighbours (Å) after each atom.
Space group P2/m (No. 10)
Symmetry-distinct sites (fractional):
1 Nd 0.2454 0.0000 0.2438 x2  2 P 2.90, 3 S 2.93-2.97, 1 As 2.95
2 Nd 0.2488 0.5000 0.7544 x2  1 P 2.91, 3 S 2.93-2.97, 2 As 2.95
3 As 0.0000 0.0000 0.5000 x1  6 Nd 2.95
4 P 0.0000 0.5000 0.0000 x1  6 Nd 2.90-2.91
5 S 0.5000 0.0000 0.0000 x1  6 Nd 2.93
6 S 0.5000 0.5000 0.5000 x1  6 Nd 2.97